[1]
Crystalline Np8H at its relaxed geometry. Source: the Alexandria database, functional PBE-GGA.

- Raw total energy: -11.76 eV/atom

a = 5.932 Å, b = 6.052 Å, c = 4.861 Å
α = 87.40°, β = 89.74°, γ = 120.00°
Atoms (fractional coordinates):
1 Np 0.568 0.562 0.017
2 Np 0.547 0.113 0.940
3 Np 0.913 0.031 0.027
4 Np 0.169 0.665 0.000
5 Np 0.120 0.221 0.560
6 Np 0.098 0.772 0.483
7 Np 0.497 0.669 0.500
8 Np 0.754 0.302 0.473
9 H 0.333 0.167 0.249

---

[2]
Crystalline TiNbSe2 at its relaxed geometry. Source: the Alexandria database, functional PBE-GGA.

- Raw total energy: -6.85 eV/atom
- Polymorph energy (0 for the lowest one): 0.000 kcal/mol of atoms

a = 4.561 Å, b = 4.561 Å, c = 4.561 Å
α = 60.00°, β = 60.00°, γ = 60.00°
Last column: magnetic moment on the atom in μB.
Atoms (fractional coordinates):
1 Nb 0.500 0.500 0.500  0.11
2 Se 0.250 0.250 0.250  -0.02
3 Se 0.750 0.750 0.750  -0.02
4 Ti 0.000 0.000 0.000  0.73

---

[3]
Crystalline BeTe2Se at its relaxed geometry. Source: the Alexandria database, functional PBE-GGA.

- Raw total energy: -3.38 eV/atom
- Polymorph energy (0 for the lowest one): 0.000 kcal/mol of atoms

a = 3.338 Å, b = 3.338 Å, c = 8.610 Å
α = 90.00°, β = 90.00°, γ = 90.00°
Atoms (fractional coordinates):
1 Be 0.000 0.000 0.667
2 Te 0.000 0.000 0.947
3 Te 0.500 0.500 0.288
4 Se 0.500 0.500 0.598

---

[4]
Crystalline Mg2CrNi at its relaxed geometry. Source: the Alexandria database, functional PBE-GGA.

- Energy relative to the elements: 0.19 eV/atom
- Raw total energy: -4.46 eV/atom
- Polymorph energy (0 for the lowest one): 0.000 kcal/mol of atoms

a = 2.812 Å, b = 2.812 Å, c = 7.841 Å
α = 90.00°, β = 90.00°, γ = 90.00°
Atoms (fractional coordinates):
1 Cr 0.500 0.500 0.708
2 Mg 0.000 0.000 0.965
3 Mg 0.500 0.500 0.298
4 Ni 0.000 0.000 0.530